## K3Pa3RhS8 (PBE-GGA)

Data for a relaxed structure of K3Pa3RhS8.

Cell and atoms, written as POSCAR:
```
K3Pa3RhS8
1.0
-7.543 2.040 0.079
2.202 -6.693 -3.316
0.142 0.181 8.827
K S Pa Rh
3 8 3 1
Direct
0.000 0.500 0.000
0.000 0.000 0.000
0.500 0.500 0.000
0.263 0.527 0.291
0.778 0.557 0.310
0.737 0.473 0.709
0.774 0.033 0.307
0.226 0.967 0.693
0.742 0.967 0.693
0.222 0.443 0.690
0.258 0.033 0.307
0.500 0.000 0.500
0.500 0.500 0.500
0.000 0.500 0.500
0.000 0.000 0.500
```

Output
Its electronic total energy is -91.9 eV per cell. As for the energy relative to the elements, uncorrected: -1315 meV/atom. The calculation puts the density of states at the Fermi level at 1.359 states/eV per atom.

## Sm2PuP (PBE-GGA)

Data for a relaxed structure of Sm2PuP.

Cell and atoms, written as POSCAR:
```
Sm2PuP
1.0
-0.489 -1.406 3.559
3.035 -1.301 1.994
2.163 7.559 5.373
Pu Sm P
1 2 1
Direct
0.500 0.500 0.500
0.272 0.272 0.183
0.728 0.728 0.817
0.000 0.000 0.000
```

Output
Its electronic total energy is -31.3 eV per cell. The calculation puts the density of states at the Fermi level at 2.691 states/eV per atom. The calculation puts the energy relative to the elements at -537 meV/atom.

## ZrCo2 (PBE-GGA)

Data for a relaxed structure of ZrCo2.

Cell and atoms, written as POSCAR:
```
ZrCo2
1.0
-1.197 2.412 -0.961
-0.800 -1.087 2.520
4.547 3.419 2.919
Co Zr
2 1
Direct
0.333 0.667 0.696
0.000 0.000 0.971
0.667 0.333 0.333
```

Output
Its electronic total energy is -21.8 eV per cell. The calculation puts the density of states at the Fermi level at 1.302 states/eV per atom. The calculation puts the energy relative to the elements at 319 meV/atom.

## Na2MgHg2 (PBE-GGA)

Data for a relaxed structure of Na2MgHg2.

Cell and atoms, written as POSCAR:
```
Na2MgHg2
1.0
-2.046 -0.251 3.734
-3.650 -0.803 -2.054
-1.431 -7.720 1.133
Na Hg Mg
2 2 1
Direct
0.250 0.750 0.500
0.750 0.250 0.500
0.403 0.403 0.195
0.597 0.597 0.805
0.000 0.000 0.000
```

Output
Its electronic total energy is -5.1 eV per cell. The offset from the most stable computed form comes out at 64 kJ/mol of formula units. The calculation puts the density of states at the Fermi level at 0.478 states/eV per atom. The calculation puts the energy relative to the elements at -44 meV/atom.

## TlPOs2 (PBE-GGA)

Data for a relaxed structure of TlPOs2.

Cell and atoms, written as POSCAR:
```
TlPOs2
1.0
4.313 2.955 0.015
-4.313 2.955 0.015
0.000 1.497 2.629
P Tl Os
1 1 2
Direct
0.000 0.000 0.000
0.500 0.500 0.000
0.500 0.000 0.000
0.000 0.500 0.000
```

Output
Its electronic total energy is -25.8 eV per cell. The offset from the most stable computed form comes out at 280 kJ/mol of formula units. The calculation puts the density of states at the Fermi level at 1.078 states/eV per atom. The calculation puts the energy relative to the elements at 1118 meV/atom.

## Al2CoBr (PBE-GGA)

Data for a relaxed structure of Al2CoBr.

Cell and atoms, written as POSCAR:
```
Al2CoBr
1.0
-0.026 -5.061 -1.160
2.977 -1.327 -4.042
0.686 2.788 4.327
Al Br Co
2 1 1
Direct
0.500 0.500 0.000
0.000 0.000 0.000
0.250 0.750 0.500
0.750 0.250 0.500
```

Output
Its electronic total energy is -14.3 eV per cell. The offset from the most stable computed form comes out at 268 kJ/mol of formula units. As for the energy relative to the elements, uncorrected: 482 meV/atom. The calculation puts the density of states at the Fermi level at 0.818 states/eV per atom.

## Mn2MoC (PBE-GGA)

Data for a relaxed structure of Mn2MoC.

Cell and atoms, written as POSCAR:
```
Mn2MoC
1.0
2.796 0.000 0.000
1.398 2.421 0.000
1.398 0.807 6.658
Mn Mo C
2 1 1
Direct
0.278 0.278 0.165
0.722 0.722 0.835
0.500 0.500 0.500
0.000 0.000 0.000
```

Output
Its electronic total energy is -38.0 eV per cell. The calculation puts the density of states at the Fermi level at 1.096 states/eV per atom. The calculation puts the energy relative to the elements at 108 meV/atom.

## CaSi2Rh (PBE-GGA)

Data for a relaxed structure of CaSi2Rh.

Cell and atoms, written as POSCAR:
```
CaSi2Rh
1.0
3.187 0.000 0.000
0.000 3.189 0.000
0.000 0.000 6.784
Ca Rh Si
1 1 2
Direct
0.500 0.500 0.250
0.500 0.500 0.750
0.000 0.000 0.563
0.000 0.000 0.937
```

Output
Its electronic total energy is -22.0 eV per cell. As for the energy relative to the elements, uncorrected: -459 meV/atom. The calculation puts the density of states at the Fermi level at 0.407 states/eV per atom.

## Na2HoTh2Te6 (PBE-GGA)

Data for a relaxed structure of Na2HoTh2Te6.

Cell and atoms, written as POSCAR:
```
Na2HoTh2Te6
1.0
7.655 -0.025 0.074
-3.805 6.642 0.074
-1.371 -2.357 7.637
Te Na Th Ho
6 2 2 1
Direct
0.408 0.083 0.738
0.592 0.917 0.262
0.083 0.408 0.738
0.751 0.751 0.737
0.249 0.249 0.263
0.917 0.592 0.262
0.169 0.831 0.000
0.831 0.169 0.000
0.667 0.333 0.500
0.333 0.667 0.500
0.000 0.000 0.500
```

Output
Its electronic total energy is -54.0 eV per cell. As for the energy relative to the elements, uncorrected: -1192 meV/atom. The calculation puts the density of states at the Fermi level at 0.439 states/eV per atom.

## Pu2GaTc (PBE-GGA)

Data for a relaxed structure of Pu2GaTc.

Cell and atoms, written as POSCAR:
```
Pu2GaTc
1.0
5.116 0.000 0.000
0.000 3.579 0.000
0.000 0.000 3.579
Ga Pu Tc
1 2 1
Direct
0.500 0.000 0.000
0.000 0.500 0.000
0.000 0.000 0.500
0.500 0.500 0.500
```

Output
Its electronic total energy is -41.0 eV per cell. The calculation puts the density of states at the Fermi level at 1.833 states/eV per atom. The calculation puts the energy relative to the elements at 257 meV/atom.

## MgCoCu2 (PBE-GGA)

Data for a relaxed structure of MgCoCu2.

Cell and atoms, written as POSCAR:
```
MgCoCu2
1.0
5.001 0.048 0.077
2.355 4.412 -0.077
-3.228 -2.971 2.401
Mg Cu Co
1 2 1
Direct
0.750 0.250 0.500
0.014 0.014 0.000
0.486 0.486 0.000
0.250 0.750 0.500
```

Output
Its electronic total energy is -16.3 eV per cell. The calculation puts the density of states at the Fermi level at 0.847 states/eV per atom. The calculation puts the energy relative to the elements at 140 meV/atom.

## RbLa2P (PBE-GGA)

Data for a relaxed structure of RbLa2P.

Cell and atoms, written as POSCAR:
```
RbLa2P
1.0
-7.744 -5.447 -0.978
3.031 -2.768 -8.588
-0.559 -6.941 -3.235
Rb La P
2 4 2
Direct
0.000 0.000 0.000
0.750 0.250 0.500
0.238 0.625 0.250
0.375 0.488 0.750
0.875 0.762 0.750
0.512 0.125 0.250
0.250 0.750 0.500
0.500 0.500 0.000
```

Output
Its electronic total energy is -33.9 eV per cell. The calculation puts the density of states at the Fermi level at 0.824 states/eV per atom. The calculation puts the energy relative to the elements at -177 meV/atom.

## ZnCdP2O (PBE-GGA)

Data for a relaxed structure of ZnCdP2O.

Cell and atoms, written as POSCAR:
```
ZnCdP2O
1.0
-0.694 1.377 4.673
-1.061 -4.785 1.253
4.761 -0.808 0.946
Cd P Zn O
1 2 1 1
Direct
0.000 0.000 0.000
0.000 0.000 0.500
0.500 0.000 0.000
0.000 0.500 0.000
0.500 0.500 0.500
```

Output
Its electronic total energy is -10.5 eV per cell. The offset from the most stable computed form comes out at 505 kJ/mol of formula units. As for the energy relative to the elements, uncorrected: 1499 meV/atom. The calculation puts the density of states at the Fermi level at 1.261 states/eV per atom.

## Li5PaRh6 (PBE-GGA)

Data for a relaxed structure of Li5PaRh6.

Cell and atoms, written as POSCAR:
```
Li5PaRh6
1.0
4.227 0.002 -0.895
-0.003 6.093 -0.001
-0.810 0.000 6.635
Rh Pa Li
6 1 5
Direct
0.167 0.255 0.333
0.833 0.255 0.667
0.167 0.745 0.333
0.833 0.745 0.667
0.500 0.735 0.000
0.500 0.265 0.000
0.000 0.000 0.000
0.331 0.500 0.663
0.326 0.000 0.652
0.674 0.000 0.348
0.669 0.500 0.337
0.000 0.500 0.000
```

Output
Its electronic total energy is -67.5 eV per cell. The calculation puts the density of states at the Fermi level at 0.677 states/eV per atom. The calculation puts the energy relative to the elements at -359 meV/atom.

## PmThIr2 (PBE-GGA)

Data for a relaxed structure of PmThIr2.

Cell and atoms, written as POSCAR:
```
PmThIr2
1.0
3.565 0.000 0.000
0.000 3.565 0.000
0.000 0.000 7.127
Pm Ir Th
1 2 1
Direct
0.500 0.500 0.500
0.000 0.000 0.766
0.000 0.000 0.234
0.500 0.500 0.000
```

Output
Its electronic total energy is -32.8 eV per cell. The offset from the most stable computed form comes out at 49 kJ/mol of formula units. The calculation puts the density of states at the Fermi level at 0.263 states/eV per atom. The calculation puts the energy relative to the elements at -717 meV/atom.

## Mg3TlIr (PBE-GGA)

Data for a relaxed structure of Mg3TlIr.

Cell and atoms, written as POSCAR:
```
Mg3TlIr
1.0
5.030 0.000 0.000
0.000 5.030 0.000
0.000 0.000 5.030
Mg Ir Tl
3 1 1
Direct
0.000 0.500 0.000
0.500 0.000 0.000
0.000 0.000 0.500
0.000 0.000 0.000
0.500 0.500 0.500
```

Output
Its electronic total energy is -16.2 eV per cell. The offset from the most stable computed form comes out at 0 kJ/mol of formula units. The calculation puts the density of states at the Fermi level at 0.350 states/eV per atom. The calculation puts the energy relative to the elements at -37 meV/atom.

## TiMn (PBE-GGA)

Data for a relaxed structure of TiMn.

Cell and atoms, written as POSCAR:
```
TiMn
1.0
-0.091 -6.886 2.397
-1.443 -2.333 -6.757
4.252 -0.332 -0.794
Ti Mn
8 8
Direct
0.045 0.323 0.500
0.148 0.772 0.000
0.955 0.677 0.500
0.852 0.228 0.000
0.772 0.852 0.000
0.228 0.148 0.000
0.323 0.955 0.500
0.677 0.045 0.500
0.809 0.542 0.000
0.191 0.458 0.000
0.390 0.314 0.500
0.314 0.610 0.500
0.458 0.809 0.000
0.610 0.686 0.500
0.542 0.191 0.000
0.686 0.390 0.500
```

Output
Its electronic total energy is -132.7 eV per cell. The calculation puts the density of states at the Fermi level at 0.892 states/eV per atom. The calculation puts the energy relative to the elements at 238 meV/atom.

## NdTc4N8 (PBE-GGA)

Data for a relaxed structure of NdTc4N8.

Cell and atoms, written as POSCAR:
```
NdTc4N8
1.0
5.765 0.000 0.000
2.882 4.993 0.000
2.882 1.664 6.030
Tc N Nd
4 8 1
Direct
0.000 0.500 0.000
0.500 0.000 0.000
0.500 0.500 0.000
0.000 0.000 0.000
0.767 0.262 0.204
0.233 0.738 0.796
0.268 0.268 0.195
0.738 0.233 0.796
0.233 0.233 0.796
0.262 0.767 0.204
0.767 0.767 0.204
0.732 0.732 0.805
0.500 0.500 0.500
```

Output
Its electronic total energy is -111.3 eV per cell. As for the energy relative to the elements, uncorrected: 118 meV/atom. The calculation puts the density of states at the Fermi level at 0.306 states/eV per atom.

## Sm2YCrN4 (PBE-GGA)

Data for a relaxed structure of Sm2YCrN4.

Cell and atoms, written as POSCAR:
```
Sm2YCrN4
1.0
3.418 0.000 0.000
-1.709 5.783 0.000
0.000 0.000 11.996
Sm Y N Cr
4 2 8 2
Direct
0.632 0.265 0.043
0.632 0.265 0.457
0.368 0.735 0.957
0.368 0.735 0.543
0.887 0.775 0.250
0.113 0.225 0.750
0.427 0.854 0.750
0.729 0.458 0.863
0.573 0.146 0.250
0.271 0.542 0.137
0.000 0.000 0.000
0.000 0.000 0.500
0.271 0.542 0.363
0.729 0.458 0.637
0.160 0.320 0.250
0.840 0.680 0.750
```

Output
Its electronic total energy is -135.0 eV per cell. As for the energy relative to the elements, uncorrected: -1082 meV/atom. The calculation puts the density of states at the Fermi level at 0.386 states/eV per atom.

## TbNdPt4 (PBE-GGA)

Data for a relaxed structure of TbNdPt4.

Cell and atoms, written as POSCAR:
```
TbNdPt4
1.0
-2.177 2.582 -4.318
-4.011 -2.380 -2.880
-5.109 1.967 0.273
Nd Pt Tb
1 4 1
Direct
0.000 0.000 0.000
0.625 0.625 0.126
0.625 0.625 0.625
0.625 0.126 0.625
0.126 0.625 0.625
0.250 0.250 0.250
```

Output
Its electronic total energy is -40.1 eV per cell. The calculation puts the density of states at the Fermi level at 0.115 states/eV per atom. The calculation puts the energy relative to the elements at -1091 meV/atom.

## Al3NiIr (PBE-GGA)

Data for a relaxed structure of Al3NiIr.

Cell and atoms, written as POSCAR:
```
Al3NiIr
1.0
4.326 0.000 0.000
0.000 4.326 0.000
0.000 0.000 4.326
Al Ni Ir
3 1 1
Direct
0.000 0.000 0.500
0.500 0.000 0.000
0.000 0.500 0.000
0.000 0.000 0.000
0.500 0.500 0.500
```

Output
Its electronic total energy is -25.1 eV per cell. The offset from the most stable computed form comes out at 0 kJ/mol of formula units. The calculation puts the density of states at the Fermi level at 0.559 states/eV per atom. The calculation puts the energy relative to the elements at 159 meV/atom.

## Ba5Pt2I2 (PBE-GGA)

Data for a relaxed structure of Ba5Pt2I2.

Cell and atoms, written as POSCAR:
```
Ba5Pt2I2
1.0
8.949 0.000 0.000
0.000 7.953 -4.088
0.000 0.191 10.152
I Pt Ba
4 4 10
Direct
0.500 0.713 0.426
0.500 0.287 0.574
0.000 0.213 0.426
0.000 0.787 0.574
0.355 0.146 0.000
0.145 0.646 0.000
0.855 0.354 0.000
0.645 0.854 0.000
0.500 0.500 0.000
0.655 0.268 0.224
0.845 0.543 0.776
0.345 0.957 0.224
0.845 0.768 0.224
0.155 0.457 0.224
0.155 0.232 0.776
0.345 0.732 0.776
0.000 0.000 0.000
0.655 0.043 0.776
```

Output
Its electronic total energy is -67.0 eV per cell. As for the energy relative to the elements, uncorrected: -968 meV/atom. The calculation puts the density of states at the Fermi level at 0.515 states/eV per atom.

## YRhO3 (PBE-GGA)

Data for a relaxed structure of YRhO3.

Cell and atoms, written as POSCAR:
```
YRhO3
1.0
-0.921 -4.467 -2.679
4.082 -2.721 3.133
-5.306 -2.006 5.170
Y O Rh
4 12 4
Direct
0.531 0.584 0.250
0.469 0.416 0.750
0.031 0.916 0.750
0.969 0.084 0.250
0.323 0.691 0.563
0.866 0.553 0.750
0.366 0.947 0.250
0.823 0.809 0.437
0.677 0.309 0.063
0.177 0.191 0.563
0.134 0.447 0.250
0.177 0.191 0.937
0.677 0.309 0.437
0.323 0.691 0.937
0.823 0.809 0.063
0.634 0.053 0.750
0.000 0.500 0.500
0.500 0.000 0.500
0.500 0.000 0.000
0.000 0.500 0.000
```

Output
Its electronic total energy is -157.5 eV per cell. As for the energy relative to the elements, uncorrected: -2137 meV/atom. The calculation puts the density of states at the Fermi level at 0.000 states/eV per atom.

## ScCu2C (PBE-GGA)

Data for a relaxed structure of ScCu2C.

Cell and atoms, written as POSCAR:
```
ScCu2C
1.0
4.275 0.000 0.000
0.000 4.275 0.000
2.137 2.137 6.493
Cu C Sc
4 2 2
Direct
0.313 0.625 0.250
0.875 0.687 0.750
0.375 0.563 0.750
0.437 0.125 0.250
0.250 0.750 0.500
0.500 0.500 0.000
0.750 0.250 0.500
0.000 0.000 0.000
```

Output
Its electronic total energy is -43.3 eV per cell. The calculation puts the density of states at the Fermi level at 0.900 states/eV per atom. The calculation puts the energy relative to the elements at 526 meV/atom.